No. 1
ScHgTe2, relaxed, DFT GGA-PBE; VASP energy = -3.590 eV/atom; energy relative to the elements, uncorrected = -360 meV/atom
1.0
3.4960 0.0648 0.0000
-0.6958 3.4267 0.0000
0.0000 0.0000 9.5910
Hg Te Sc
1 2 1
Cartesian
0.0000 0.0000 5.0783 Hg
1.4001 1.7458 2.8863 Te
0.0000 0.0000 8.8566 Te
1.4001 1.7458 7.1563 Sc

---

No. 2
GeTe2P, relaxed, DFT GGA-PBE; VASP energy = -3.663 eV/atom; polymorph energy (0 for the lowest one) = 46 meV/atom; energy relative to the elements, uncorrected = 415 meV/atom
1.0
2.1271 0.0000 9.3475
-1.0635 1.8421 9.3475
-1.0635 -1.8421 9.3475
Te Ge P
2 1 1
Cartesian
0.0000 0.0000 2.9276 Te
0.0000 0.0000 25.1150 Te
0.0000 0.0000 0.0000 Ge
0.0000 0.0000 14.0213 P

---

No. 3
Ac6Pr3Cd, relaxed, DFT GGA-PBE; DFT formation energy = -0.2 eV/f.u.; VASP energy = -4.011 eV/atom
1.0
-4.1407 4.4205 -1.1067
-7.2168 -5.4902 5.0723
6.6257 8.3072 8.3914
Cd Ac Pr
2 12 6
Cartesian
-0.6327 6.5490 2.8342 Cd
-4.0991 0.6884 9.5228 Cd
-3.1991 4.3554 3.6748 Ac
-0.8217 8.0835 9.6711 Ac
-5.2613 3.3157 7.2374 Ac
-8.8607 -0.6178 4.9933 Ac
-3.7397 5.5362 10.4142 Ac
-5.1532 -1.0230 6.6310 Ac
0.4215 8.2604 5.7261 Ac
4.1289 7.8552 7.3638 Ac
0.5295 3.9217 5.1196 Ac
-3.9101 -0.8461 2.6860 Ac
-0.9921 1.7012 1.9429 Ac
-1.5327 2.8820 8.6823 Ac
-5.9937 1.8310 4.0472 Pr
-4.6004 2.2688 0.5827 Pr
-2.4568 1.2027 5.4322 Pr
-2.2750 6.0347 6.9248 Pr
1.2619 5.4065 8.3099 Pr
-0.1314 4.9686 11.7743 Pr